1.
Here is an optimized crystal structure of OsAuNO from the Open Quantum Materials Database. Energies are from PBE-GGA.

Values from the calculation:
Distance to the lowest polymorph of the same formula in eV per atom: 0.258

Cell lengths 5.834, 6.692, 5.369 Å; angles 90.00, 90.00, 90.00 degrees
Space group Pca2_1 (No. 29)
Symmetry-distinct sites (fractional):
Os1 0.051 0.109 0.000
Au1 0.117 0.698 0.963
N1 0.137 0.111 0.630
O1 0.016 0.607 0.441

***

2.
Here is an optimized crystal structure of Tb2SnO4 from the Open Quantum Materials Database. Energies are from PBE-GGA.

Values from the calculation:
Raw total energy in eV for the cell shown: -418.428

Cell lengths 9.768, 9.768, 9.768 Å; angles 90.00, 90.00, 90.00 degrees
Space group Fd-3m (No. 227, origin choice 2)
Symmetry-distinct sites (fractional):
Tb1 0.000 0.000 0.000
Sn1 0.125 0.125 0.625
O1 0.015 0.015 0.235